Record 1
First-principles (PBEsol) data for a relaxed MnOsSeBr2 crystal, as listed in Alexandria via LeMat-Bulk.

Output
Formation energy without anion corrections = 119.8 kJ per mole of atoms

Structure (CIF):
```
data_MnOsSeBr2
_cell_length_a 4.774
_cell_length_b 4.774
_cell_length_c 5.008
_cell_angle_alpha 90.00
_cell_angle_beta 90.00
_cell_angle_gamma 90.00
_symmetry_space_group_name_H-M 'P 1'
_symmetry_Int_Tables_number 1
loop_
_symmetry_equiv_pos_as_xyz
'x,y,z'
loop_
_atom_site_label
_atom_site_type_symbol
_atom_site_fract_x
_atom_site_fract_y
_atom_site_fract_z
Mn1 Mn 0.000 0.000 0.000
Os1 Os 0.500 0.500 0.500
Se1 Se 0.000 0.000 0.500
Br1 Br 0.000 0.500 0.000
Br2 Br 0.500 0.000 0.000
```



Record 2
First-principles (PBEsol) data for a relaxed KBeZn crystal, as listed in Alexandria via LeMat-Bulk.

Output
Calculated total energy = -15.46 eV for the cell shown

Structure (CIF):
```
data_KBeZn
_cell_length_a 6.734
_cell_length_b 6.734
_cell_length_c 6.734
_cell_angle_alpha 90.00
_cell_angle_beta 90.00
_cell_angle_gamma 90.00
_symmetry_space_group_name_H-M 'P 1'
_symmetry_Int_Tables_number 1
loop_
_symmetry_equiv_pos_as_xyz
'x,y,z'
loop_
_atom_site_label
_atom_site_type_symbol
_atom_site_fract_x
_atom_site_fract_y
_atom_site_fract_z
K1 K 0.000 0.000 0.000
K2 K 0.000 0.500 0.500
K3 K 0.500 0.000 0.500
K4 K 0.500 0.500 0.000
Be1 Be 0.250 0.250 0.750
Be2 Be 0.250 0.750 0.250
Be3 Be 0.750 0.250 0.250
Be4 Be 0.750 0.750 0.750
Zn1 Zn 0.000 0.000 0.500
Zn2 Zn 0.000 0.500 0.000
Zn3 Zn 0.500 0.000 0.000
Zn4 Zn 0.500 0.500 0.500
```



Record 3
First-principles (PBEsol) data for a relaxed BaLiNO2 crystal, as listed in Alexandria via LeMat-Bulk.

Output
Formation energy without anion corrections = -47.3 kJ per mole of atoms

Structure (CIF):
```
data_BaLiNO2
_cell_length_a 4.064
_cell_length_b 4.064
_cell_length_c 4.024
_cell_angle_alpha 90.00
_cell_angle_beta 90.00
_cell_angle_gamma 90.00
_symmetry_space_group_name_H-M 'P 1'
_symmetry_Int_Tables_number 1
loop_
_symmetry_equiv_pos_as_xyz
'x,y,z'
loop_
_atom_site_label
_atom_site_type_symbol
_atom_site_fract_x
_atom_site_fract_y
_atom_site_fract_z
Ba1 Ba 0.000 0.000 0.000
Li1 Li 0.500 0.500 0.500
N1 N 0.500 0.500 0.000
O1 O 0.000 0.500 0.500
O2 O 0.500 0.000 0.500
```



Record 4
First-principles (PBEsol) data for a relaxed HfTc2 crystal, as listed in Alexandria via LeMat-Bulk.

Output
Calculated total energy = -136.34 eV for the cell shown

Structure (CIF):
```
data_HfTc2
_cell_length_a 5.142
_cell_length_b 5.142
_cell_length_c 8.565
_cell_angle_alpha 90.00
_cell_angle_beta 90.00
_cell_angle_gamma 120.00
_symmetry_space_group_name_H-M 'P 1'
_symmetry_Int_Tables_number 1
loop_
_symmetry_equiv_pos_as_xyz
'x,y,z'
loop_
_atom_site_label
_atom_site_type_symbol
_atom_site_fract_x
_atom_site_fract_y
_atom_site_fract_z
Hf1 Hf 0.333 0.667 0.063
Hf2 Hf 0.333 0.667 0.437
Hf3 Hf 0.667 0.333 0.563
Hf4 Hf 0.667 0.333 0.937
Tc1 Tc 0.000 0.000 0.000
Tc2 Tc 0.000 0.000 0.500
Tc3 Tc 0.172 0.344 0.750
Tc4 Tc 0.172 0.828 0.750
Tc5 Tc 0.344 0.172 0.250
Tc6 Tc 0.656 0.828 0.750
Tc7 Tc 0.828 0.172 0.250
Tc8 Tc 0.828 0.656 0.250
```



Record 5
First-principles (PBEsol) data for a relaxed ScCuI2N crystal, as listed in Alexandria via LeMat-Bulk.

Output
Formation energy without anion corrections = 32.7 kJ per mole of atoms

Structure (CIF):
```
data_ScCuI2N
_cell_length_a 5.507
_cell_length_b 5.507
_cell_length_c 3.601
_cell_angle_alpha 90.00
_cell_angle_beta 90.00
_cell_angle_gamma 90.00
_symmetry_space_group_name_H-M 'P 1'
_symmetry_Int_Tables_number 1
loop_
_symmetry_equiv_pos_as_xyz
'x,y,z'
loop_
_atom_site_label
_atom_site_type_symbol
_atom_site_fract_x
_atom_site_fract_y
_atom_site_fract_z
Sc1 Sc 0.000 0.000 0.000
Cu1 Cu 0.500 0.500 0.500
I1 I 0.000 0.500 0.500
I2 I 0.500 0.000 0.500
N1 N 0.500 0.500 0.000
```



Record 6
First-principles (PBEsol) data for a relaxed CaNbRu2Pt crystal, as listed in Alexandria via LeMat-Bulk.

Output
Calculated total energy = -30.53 eV for the cell shown

Structure (CIF):
```
data_CaNbRu2Pt
_cell_length_a 4.458
_cell_length_b 4.458
_cell_length_c 4.668
_cell_angle_alpha 90.00
_cell_angle_beta 90.00
_cell_angle_gamma 90.00
_symmetry_space_group_name_H-M 'P 1'
_symmetry_Int_Tables_number 1
loop_
_symmetry_equiv_pos_as_xyz
'x,y,z'
loop_
_atom_site_label
_atom_site_type_symbol
_atom_site_fract_x
_atom_site_fract_y
_atom_site_fract_z
Ca1 Ca 0.000 0.000 0.000
Nb1 Nb 0.500 0.500 0.500
Ru1 Ru 0.000 0.500 0.000
Ru2 Ru 0.500 0.000 0.000
Pt1 Pt 0.000 0.000 0.500
```